[1]
## CsZrSb3 (GGA-PBE)

Data for an optimized crystal structure of CsZrSb3.

abc: 5.849 5.849 5.849
angles: 90.00 90.00 90.00
Space group Pm-3m (No. 221)
Symmetry-distinct sites (fractional):
Cs: 0.000 0.000 0.000 [1 per cell]
Zr: 0.500 0.500 0.500 [1 per cell]
Sb: 0.000 0.000 0.500 [3 per cell]

Output
Mass density (g/cm3): 4.89
Uncorrected formation energy (meV/atom): 1775
Energy relative to the lowest polymorph listed for this composition (meV/atom): 1969
E (eV/atom): -2.5787

---

[2]
## CsZrSb3 (GGA-PBE)

Data for an optimized crystal structure of CsZrSb3.

abc: 5.685 5.685 5.685
angles: 90.00 90.00 90.00
Space group Pm-3m (No. 221)
Symmetry-distinct sites (fractional):
Cs: 0.000 0.000 0.000 [1 per cell]
Zr: 0.500 0.500 0.500 [1 per cell]
Sb: 0.000 0.500 0.500 [3 per cell]

Output
Mass density (g/cm3): 5.33
Uncorrected formation energy (meV/atom): -194
Energy relative to the lowest polymorph listed for this composition (meV/atom): 0
E (eV/atom): -4.5474

---

[3]
## CsZrSb2 (GGA-PBE)

Data for an optimized crystal structure of CsZrSb2.

abc: 3.635 3.635 9.482
angles: 90.00 90.00 90.00
Space group P4/mmm (No. 123)
Symmetry-distinct sites (fractional):
Cs: 0.000 0.000 0.000 [1 per cell]
Zr: 0.000 0.000 0.500 [1 per cell]
Sb: 0.500 0.500 0.315 [2 per cell]

Output
Mass density (g/cm3): 6.20
Uncorrected formation energy (meV/atom): -387
Energy relative to the lowest polymorph listed for this composition (meV/atom): 34
E (eV/atom): -4.7983

---

[4]
## CsZrSb2 (GGA-PBE)

Data for an optimized crystal structure of CsZrSb2.

abc: 6.930 6.930 17.121
angles: 90.00 90.00 90.00
Space group I-42d (No. 122)
Symmetry-distinct sites (fractional):
Cs: 0.000 0.000 0.000 [4 per cell]
Zr: 0.000 0.000 0.500 [4 per cell]
Sb: 0.001 0.250 0.625 [8 per cell]

Output
Mass density (g/cm3): 3.78
Uncorrected formation energy (meV/atom): -233
Energy relative to the lowest polymorph listed for this composition (meV/atom): 188
E (eV/atom): -4.6444

---

[5]
## CsZr3Sb (GGA-PBE)

Data for an optimized crystal structure of CsZr3Sb.

abc: 5.532 5.532 5.532
angles: 90.00 90.00 90.00
Space group Pm-3m (No. 221)
Symmetry-distinct sites (fractional):
Cs: 0.000 0.000 0.000 [1 per cell]
Zr: 0.000 0.500 0.500 [3 per cell]
Sb: 0.500 0.500 0.500 [1 per cell]

Output
Mass density (g/cm3): 5.18
Uncorrected formation energy (meV/atom): 926
Energy relative to the lowest polymorph listed for this composition (meV/atom): 0
E (eV/atom): -5.1982

---

[6]
## CsZrSb2 (GGA-PBE)

Data for an optimized crystal structure of CsZrSb2.

abc: 4.0504 4.0504 28.7466
angles: 90.00 90.00 120.00
Space group R-3m (No. 166, hexagonal axes)
Symmetry-distinct sites (fractional):
Cs: 0.0000 0.0000 0.0000 [3 per cell]
Zr: 0.0000 0.0000 0.5000 [3 per cell]
Sb: 0.0000 0.0000 0.2301 [6 per cell]

Output
Mass density (g/cm3): 5.70
Uncorrected formation energy (meV/atom): -420
Energy relative to the lowest polymorph listed for this composition (meV/atom): 0
E (eV/atom): -4.8319

---

[7]
## CsZr2Sb (GGA-PBE)

Data for an optimized crystal structure of CsZr2Sb.

abc: 8.747 8.747 6.751
angles: 90.00 90.00 90.00
Space group I-42d (No. 122)
Symmetry-distinct sites (fractional):
Cs: 0.000 0.000 0.000 [4 per cell]
Zr: 0.190 0.750 0.625 [8 per cell]
Sb: 0.000 0.000 0.500 [4 per cell]

Output
Mass density (g/cm3): 5.62
Uncorrected formation energy (meV/atom): 784
E (eV/atom): -4.7344

---

[8]
## CsZrSb2 (GGA-PBE)

Data for an optimized crystal structure of CsZrSb2.

abc: 7.843 7.843 7.843
angles: 90.00 90.00 90.00
Space group Fm-3m (No. 225)
Symmetry-distinct sites (fractional):
Cs: 0.000 0.000 0.000 [4 per cell]
Zr: 0.000 0.000 0.500 [4 per cell]
Sb: 0.250 0.250 0.250 [8 per cell]

Output
Mass density (g/cm3): 6.44
Uncorrected formation energy (meV/atom): 195
Energy relative to the lowest polymorph listed for this composition (meV/atom): 616
E (eV/atom): -4.2162

---

[9]
## CsSc4 (GGA-PBE)

Data for an optimized crystal structure of CsSc4.

abc: 5.273 5.273 5.273
angles: 90.00 90.00 90.00
Space group Pm-3m (No. 221)
Symmetry-distinct sites (fractional):
Cs: 0.000 0.000 0.000 [1 per cell]
Sc: 0.000 0.000 0.500 [3 per cell]
Sc: 0.500 0.500 0.500 [1 per cell]

Output
Mass density (g/cm3): 3.54
E (eV/atom): -3.9700
ΔH_f (0 K) (eV/atom): 1.27

---

[10]
## CsScSe3 (GGA-PBE)

Data for an optimized crystal structure of CsScSe3.

abc: 18.030 5.456 7.322
angles: 90.00 106.04 90.00
Space group C2/m (No. 12)
Symmetry-distinct sites (fractional):
Cs: 0.224 0.000 0.244 [4 per cell]
Sc: 0.000 0.500 0.000 [2 per cell]
Sc: 0.000 0.500 0.500 [2 per cell]
Se: 0.089 0.246 0.809 [8 per cell]
Se: 0.111 0.500 0.326 [4 per cell]

Output
Mass density (g/cm3): 3.98
Uncorrected formation energy (meV/atom): -1186
Energy relative to the lowest polymorph listed for this composition (meV/atom): 0
E (eV/atom): -4.7136

---

[11]
## CsSc2Se3 (GGA-PBE)

Data for an optimized crystal structure of CsSc2Se3.

abc: 4.234 16.449 10.700
angles: 90.00 90.00 90.00
Space group Cmcm (No. 63)
Symmetry-distinct sites (fractional):
Cs: 0.000 0.240 0.250 [4 per cell]
Sc: 0.000 0.034 0.750 [4 per cell]
Sc: 0.000 0.500 0.000 [4 per cell]
Se: 0.000 0.112 0.544 [8 per cell]
Se: 0.000 0.444 0.750 [4 per cell]

Output
Mass density (g/cm3): 4.10
Uncorrected formation energy (meV/atom): -1533
Energy relative to the lowest polymorph listed for this composition (meV/atom): 0
E (eV/atom): -5.5283

---

[12]
## CsSc6Se8 (GGA-PBE)

Data for an optimized crystal structure of CsSc6Se8.

abc: 10.5196 10.5196 3.9197
angles: 90.00 90.00 120.00
Space group P-3 (No. 147)
Symmetry-distinct sites (fractional):
Cs: 0.0000 0.0000 0.0000 [1 per cell]
Sc: 0.1380 0.6533 0.7508 [6 per cell]
Se: 0.0459 0.3596 0.7483 [6 per cell]
Se: 0.3333 0.6667 0.2503 [2 per cell]

Output
Mass density (g/cm3): 4.57
Uncorrected formation energy (meV/atom): -1663
E (eV/atom): -6.1110

---

[13]
## Cs2Sc3Se6 (GGA-PBE)

Data for an optimized crystal structure of Cs2Sc3Se6.

abc: 6.775 11.735 8.915
angles: 90.00 104.68 90.00
Space group C2/m (No. 12)
Symmetry-distinct sites (fractional):
Cs: 0.000 0.167 0.000 [4 per cell]
Sc: 0.000 0.000 0.500 [2 per cell]
Sc: 0.000 0.333 0.500 [4 per cell]
Se: 0.223 0.500 0.678 [4 per cell]
Se: 0.227 0.165 0.678 [8 per cell]

Output
Mass density (g/cm3): 4.24
Uncorrected formation energy (meV/atom): -1529
E (eV/atom): -5.3121

---

[14]
## CsSc2Se3 (GGA-PBE)

Data for an optimized crystal structure of CsSc2Se3.

abc: 8.916 3.880 10.467
angles: 90.00 101.87 90.00
Space group P2_1/m (No. 11)
Symmetry-distinct sites (fractional):
Cs: 0.028 0.250 0.317 [2 per cell]
Sc: 0.351 0.250 0.022 [2 per cell]
Sc: 0.482 0.250 0.667 [2 per cell]
Se: 0.239 0.750 0.149 [2 per cell]
Se: 0.329 0.750 0.510 [2 per cell]
Se: 0.370 0.750 0.835 [2 per cell]

Output
Mass density (g/cm3): 4.31
Uncorrected formation energy (meV/atom): -1468
Energy relative to the lowest polymorph listed for this composition (meV/atom): 65
E (eV/atom): -5.4629

---

[15]
## CsScSe3 (GGA-PBE)

Data for an optimized crystal structure of CsScSe3.

abc: 5.668 5.668 5.668
angles: 90.00 90.00 90.00
Space group Pm-3m (No. 221)
Symmetry-distinct sites (fractional):
Cs: 0.000 0.000 0.000 [1 per cell]
Sc: 0.500 0.500 0.500 [1 per cell]
Se: 0.000 0.000 0.500 [3 per cell]

Output
Mass density (g/cm3): 3.78
Uncorrected formation energy (meV/atom): 800
Energy relative to the lowest polymorph listed for this composition (meV/atom): 1986
E (eV/atom): -2.7276

---

[16]
## CsScSe3 (GGA-PBE)

Data for an optimized crystal structure of CsScSe3.

abc: 5.313 5.313 5.313
angles: 90.00 90.00 90.00
Space group Pm-3m (No. 221)
Symmetry-distinct sites (fractional):
Cs: 0.000 0.000 0.000 [1 per cell]
Sc: 0.500 0.500 0.500 [1 per cell]
Se: 0.000 0.500 0.500 [3 per cell]

Output
Mass density (g/cm3): 4.59
Uncorrected formation energy (meV/atom): -1032
Energy relative to the lowest polymorph listed for this composition (meV/atom): 153
E (eV/atom): -4.5601

---

[17]
## CsScSe4 (GGA-PBE)

Data for an optimized crystal structure of CsScSe4.

abc: 11.245 13.272 7.203
angles: 90.00 123.49 90.00
Space group C2/c (No. 15)
Symmetry-distinct sites (fractional):
Cs: 0.000 0.142 0.250 [4 per cell]
Sc: 0.000 0.497 0.250 [4 per cell]
Se: 0.133 0.365 0.626 [8 per cell]
Se: 0.223 0.467 0.186 [8 per cell]

Output
Mass density (g/cm3): 3.66
Uncorrected formation energy (meV/atom): -1034
E (eV/atom): -4.5543

---

[18]
## Cs2ScSiSe4 (GGA-PBE)

Data for an optimized crystal structure of Cs2ScSiSe4.

abc: 6.588 14.555 26.182
angles: 90.00 90.00 90.00
Space group Fddd (No. 70, origin choice 2)
Symmetry-distinct sites (fractional):
Cs: 0.125 0.125 0.304 [16 per cell]
Sc: 0.125 0.125 0.125 [8 per cell]
Si: 0.125 0.125 0.625 [8 per cell]
Se: 0.103 0.284 0.826 [32 per cell]

Output
Mass density (g/cm3): 3.46
Uncorrected formation energy (meV/atom): -1082
E (eV/atom): -4.5067

---

[19]
## Cs4Sm3ScSe8 (GGA-PBE)

Data for an optimized crystal structure of Cs4Sm3ScSe8.

abc: 14.847 8.571 9.731
angles: 90.00 120.57 90.00
Space group C2/m (No. 12)
Symmetry-distinct sites (fractional):
Cs: 0.000 0.000 0.000 [2 per cell]
Cs: 0.000 0.500 0.000 [2 per cell]
Cs: 0.250 0.250 0.000 [4 per cell]
Sm: 0.000 0.000 0.500 [2 per cell]
Sm: 0.250 0.250 0.500 [4 per cell]
Sc: 0.000 0.500 0.500 [2 per cell]
Se: 0.018 0.261 0.316 [8 per cell]
Se: 0.220 0.500 0.683 [4 per cell]
Se: 0.230 0.000 0.691 [4 per cell]

Output
Mass density (g/cm3): 5.17
Uncorrected formation energy (meV/atom): -1682
E (eV/atom): -4.9183

---

[20]
## CsSmScSe3 (GGA-PBE)

Data for an optimized crystal structure of CsSmScSe3.

abc: 9.688 4.471 10.569
angles: 90.00 110.70 90.00
Space group P2_1/m (No. 11)
Symmetry-distinct sites (fractional):
Cs: 0.216 0.250 0.233 [2 per cell]
Sm: 0.336 0.750 0.867 [2 per cell]
Sc: 0.090 0.250 0.609 [2 per cell]
Se: 0.125 0.250 0.862 [2 per cell]
Se: 0.197 0.750 0.552 [2 per cell]
Se: 0.476 0.750 0.157 [2 per cell]

Output
Mass density (g/cm3): 4.38
Uncorrected formation energy (meV/atom): -1592
E (eV/atom): -5.3184